# 1
Here is Be2GePd8 after structural relaxation from the Alexandria database. Energies are from PBE-GGA.

total magnetization = 0.00 μB/cell
formation enthalpy at 0 K = -0.38 eV/atom
excess energy over the best structure of this formula in the dataset = 0 meV per atom
space group = C2/m (12)

Unit cell a=7.402 b=7.402 c=5.726 alpha=106.85 beta=106.85 gamma=31.35
Sites, in units of the cell vectors:
Be  0.186  0.186  0.201
Be  0.814  0.814  0.799
Ge  0.500  0.500  0.500
Pd  0.032  0.032  0.267
Pd  0.201  0.201  0.816
Pd  0.326  0.326  0.532
Pd  0.403  0.403  0.029
Pd  0.597  0.597  0.971
Pd  0.674  0.674  0.468
Pd  0.799  0.799  0.184
Pd  0.968  0.968  0.733


# 2
Here is URu3 after structural relaxation from the Alexandria database. Energies are from PBE-GGA.

total magnetization = 0.00 μB/cell
formation enthalpy at 0 K = -0.18 eV/atom
space group = I4/mmm (139)

Unit cell a=4.883 b=4.883 c=4.883 alpha=131.46 beta=131.46 gamma=71.08
Sites, in units of the cell vectors:
U  0.000  0.000  0.000
Ru  0.250  0.750  0.500
Ru  0.500  0.500  0.000
Ru  0.750  0.250  0.500


# 3
Here is Pm7Dy3 after structural relaxation from the Alexandria database. Energies are from PBE-GGA.

total magnetization = 0.00 μB/cell
formation enthalpy at 0 K = 0.18 eV/atom
excess energy over the best structure of this formula in the dataset = 162 meV per atom
space group = P6_3mc (186)

Unit cell a=11.218 b=11.218 c=6.202 alpha=90.00 beta=90.00 gamma=120.00
Sites, in units of the cell vectors:
Pm  0.055  0.528  0.000
Pm  0.117  0.234  0.873
Pm  0.117  0.883  0.873
Pm  0.234  0.117  0.373
Pm  0.333  0.667  0.796
Pm  0.472  0.528  0.000
Pm  0.472  0.945  0.000
Pm  0.528  0.055  0.500
Pm  0.528  0.472  0.500
Pm  0.667  0.333  0.296
Pm  0.766  0.883  0.873
Pm  0.883  0.117  0.373
Pm  0.883  0.766  0.373
Pm  0.945  0.472  0.500
Dy  0.219  0.438  0.385
Dy  0.219  0.781  0.385
Dy  0.438  0.219  0.885
Dy  0.562  0.781  0.385
Dy  0.781  0.219  0.885
Dy  0.781  0.562  0.885


# 4
Here is Cs2NpGeS4 after structural relaxation from the Alexandria database. Energies are from PBE-GGA.

raw formation energy = -1010 meV per atom
total magnetization = 3.00 μB/cell
space group = P2/m (10)

Unit cell a=7.133 b=4.133 c=8.259 alpha=90.00 beta=106.34 gamma=90.00
Sites, in units of the cell vectors:
Cs  0.000  0.000  0.000
Cs  0.500  0.500  0.000
Np  0.000  0.500  0.500
Ge  0.500  0.000  0.500
S  0.219  0.000  0.677
S  0.263  0.500  0.325
S  0.737  0.500  0.675
S  0.781  0.000  0.323


# 5
Here is Ir2PtPb after structural relaxation from the Alexandria database. Energies are from PBE-GGA.

total magnetization = 0.00 μB/cell
formation enthalpy at 0 K = 0.37 eV/atom
space group = P4mm (99)

Unit cell a=2.937 b=2.937 c=8.304 alpha=90.00 beta=90.00 gamma=90.00
Sites, in units of the cell vectors:
Ir  0.000  0.000  0.000
Ir  0.500  0.500  0.200
Pt  0.500  0.500  0.777
Pb  0.000  0.000  0.489


# 6
Here is Al2ReF after structural relaxation from the Alexandria database. Energies are from PBE-GGA.

raw formation energy = -33 meV per atom
total magnetization = 1.65 μB/cell
excess energy over the best structure of this formula in the dataset = 308 meV per atom
space group = Fm-3m (225)

Unit cell a=4.380 b=4.380 c=4.380 alpha=60.00 beta=60.00 gamma=60.00
Sites, in units of the cell vectors:
Al  0.250  0.250  0.250
Al  0.750  0.750  0.750
Re  0.000  0.000  0.000
F  0.500  0.500  0.500


# 7
Here is Sr2MgTl2Pb4 after structural relaxation from the Alexandria database. Energies are from PBE-GGA.

total magnetization = 0.00 μB/cell
formation enthalpy at 0 K = -0.24 eV/atom
space group = C2/m (12)

Unit cell a=7.401 b=7.401 c=7.371 alpha=119.59 beta=119.59 gamma=90.46
Sites, in units of the cell vectors:
Sr  0.248  0.752  0.000
Sr  0.752  0.248  0.000
Mg  0.000  0.000  0.500
Tl  0.277  0.277  0.501
Tl  0.723  0.723  0.499
Pb  0.278  0.722  0.500
Pb  0.280  0.280  0.056
Pb  0.720  0.720  0.944
Pb  0.722  0.278  0.500


# 8
Here is NaSrPm2Te4 after structural relaxation from the Alexandria database. Energies are from PBE-GGA.

raw formation energy = -1450 meV per atom
total magnetization = 0.00 μB/cell
space group = P2/m (10)

Unit cell a=7.801 b=4.518 c=8.089 alpha=90.00 beta=108.78 gamma=90.00
Sites, in units of the cell vectors:
Na  0.000  0.000  0.000
Sr  0.500  0.500  0.000
Pm  0.000  0.500  0.500
Pm  0.500  0.000  0.500
Te  0.243  0.000  0.740
Te  0.251  0.500  0.261
Te  0.749  0.500  0.739
Te  0.757  0.000  0.260


# 9
Here is CrIrBr2 after structural relaxation from the Alexandria database. Energies are from PBE-GGA.

raw formation energy = 755 meV per atom
total magnetization = 1.99 μB/cell
excess energy over the best structure of this formula in the dataset = 739 meV per atom
space group = R-3m (166)

Unit cell a=8.703 b=8.703 c=8.703 alpha=21.48 beta=21.48 gamma=21.48
Sites, in units of the cell vectors:
Cr  0.000  0.000  0.000
Ir  0.500  0.500  0.500
Br  0.265  0.265  0.265
Br  0.735  0.735  0.735


# 10
Here is BeCoAu2 after structural relaxation from the Alexandria database. Energies are from PBE-GGA.

total magnetization = 1.74 μB/cell
formation enthalpy at 0 K = 0.07 eV/atom
space group = Pmmm (47)

Unit cell a=2.858 b=2.900 c=6.704 alpha=90.00 beta=90.00 gamma=90.00
Sites, in units of the cell vectors:
Be  0.000  0.000  0.000
Co  0.000  0.000  0.500
Au  0.500  0.500  0.223
Au  0.500  0.500  0.777


# 11
Here is MgZrCu after structural relaxation from the Alexandria database. Energies are from PBE-GGA.

total magnetization = 0.00 μB/cell
formation enthalpy at 0 K = -0.06 eV/atom
space group = I4mm (107)

Unit cell a=6.337 b=6.337 c=6.337 alpha=152.09 beta=152.09 gamma=39.89
Sites, in units of the cell vectors:
Mg  0.000  0.000  0.000
Zr  0.707  0.707  0.000
Cu  0.358  0.358  0.000


# 12
Here is Sr2TbScSe4 after structural relaxation from the Alexandria database. Energies are from PBE-GGA.

raw formation energy = -1824 meV per atom
total magnetization = 0.00 μB/cell
space group = P2/m (10)

Unit cell a=7.193 b=4.164 c=7.394 alpha=90.00 beta=109.02 gamma=90.00
Sites, in units of the cell vectors:
Sr  0.000  0.000  0.000
Sr  0.500  0.500  0.000
Tb  0.000  0.500  0.500
Sc  0.500  0.000  0.500
Se  0.250  0.000  0.727
Se  0.266  0.500  0.278
Se  0.734  0.500  0.722
Se  0.750  0.000  0.273


Sequential N(E_F) output: 4.8 4.1 17.5 6.2 4.7 1.5 4.8 2.8 4.0 3.7 2.0 3.9 states/eV/f.u.